The following is a DFT calculation (GGA-PBE) of a relaxed structure of HfMnFe.

The total magnetic moment comes out at 9.8 μB per cell. Its density is 11.33 g cm⁻³. Its energy of formation from the pure elements is -84 kJ/mol of formula units. As for the total energy: -9.48 eV per atom.

It has space group Imma (No. 74), with a = 4.920 Å, b = 4.922 Å, c = 7.005 Å, α = 90.00°, β = 90.00° and γ = 90.00°. The distinct sites, in fractional coordinates, are Hf at (0.000, 0.250, 0.125), Mn at (0.250, 0.250, 0.750) and Fe at (0.000, 0.000, 0.500).

---

The following is a DFT calculation (GGA-PBE) of a relaxed structure of Be8GaN6.

The total magnetic moment comes out at 0.0 μB per cell. The value obtained for the uncorrected formation energy is -0.71 eV per atom. Its density is 3.32 g cm⁻³. As for the total energy: -6.23 eV per atom.

It has space group P6_3cm (No. 185), with a = 5.1573 Å, b = 5.1573 Å, c = 9.8026 Å, α = 90.00°, β = 90.00° and γ = 120.00°. The distinct sites, in fractional coordinates, are Be at (0.0000, 0.3078, 0.0000), Be at (0.0000, 0.4119, 0.3399), Be at (0.3333, 0.6667, 0.1407), Ga at (0.0000, 0.0000, 0.2202), N at (0.0000, 0.0000, 0.4341), N at (0.0000, 0.3613, 0.1708) and N at (0.3333, 0.6667, 0.4291).

---

Please write out number 1 again, unchanged.
The following is a DFT calculation (GGA-PBE) of a relaxed structure of HfMnFe.

The total magnetic moment comes out at 9.8 μB per cell. Its density is 11.33 g cm⁻³. Its energy of formation from the pure elements is -84 kJ/mol of formula units. As for the total energy: -9.48 eV per atom.

It has space group Imma (No. 74), with a = 4.920 Å, b = 4.922 Å, c = 7.005 Å, α = 90.00°, β = 90.00° and γ = 90.00°. The distinct sites, in fractional coordinates, are Hf at (0.000, 0.250, 0.125), Mn at (0.250, 0.250, 0.750) and Fe at (0.000, 0.000, 0.500).